28
Lattice="-2.961 -0.801 3.634 -5.230 -6.865 -5.775 8.578 -10.471 4.680" Properties=species:S:1:pos:R:3 comment="Sr3Hg6Au5, optimized geometry, DFT GGA-PBE" total_energy_ev_per_atom=-2.11 e_form_mev_per_atom=-447 pbc="T T T"
Hg 4.058 -5.538 2.085
Hg -2.093 -5.050 0.292
Hg 3.989 -7.350 4.741
Hg -4.454 -4.304 -1.467
Hg -6.479 -6.963 -3.703
Hg -0.328 -7.451 -1.910
Hg 3.449 -11.816 3.316
Hg 1.413 -4.205 3.335
Hg 2.167 -15.623 -1.679
Hg -3.834 -8.297 -4.953
Hg 2.033 -8.197 -0.151
Hg 2.707 -11.156 -0.254
Sr 1.329 -4.897 0.003
Sr 4.664 -8.968 1.822
Sr -3.750 -7.604 -1.621
Sr 1.493 -14.004 1.240
Sr -1.035 -10.681 -0.087
Sr -1.386 -1.820 -1.531
Au 4.659 -12.984 0.933
Au -1.545 -9.514 -3.357
Au 5.033 -10.201 4.963
Au -1.842 -5.048 -2.614
Au -0.876 -2.987 1.739
Au -4.054 -5.322 -4.477
Au 1.123 -12.772 -1.901
Au 1.633 -7.179 2.859
Au 1.497 -9.988 2.129
Au -0.579 -7.453 0.996